Computed, not measured: NbPtRh2Pb after structural relaxation at the GGA-PBE level of DFT.

```
data_NbPtRh2Pb
_space_group_name_H-M_alt 'P 1'
_space_group_IT_number 1
_cell_length_a 4.862
_cell_length_b 4.862
_cell_length_c 5.022
_cell_angle_alpha 90.00
_cell_angle_beta 90.00
_cell_angle_gamma 90.00
loop_
_space_group_symop_operation_xyz
'x,y,z'
loop_
_atom_site_label
_atom_site_type_symbol
_atom_site_fract_x
_atom_site_fract_y
_atom_site_fract_z
Nb1 Nb 0.000 0.000 0.000
Pt1 Pt 0.500 0.500 0.500
Rh1 Rh 0.000 0.500 0.500
Rh2 Rh 0.500 0.000 0.500
Pb1 Pb 0.500 0.500 0.000
```

## Properties
The formation energy comes out at 1.41 eV per atom. The value obtained for the density of states at the Fermi level is 9.34 states/eV/f.u.